# 1
ErPu2PaSb4 | Alexandria via LeMat-Bulk | GGA-PBE | relaxed; formation energy without anion corrections = -0.713 eV per atom; crystal system = monoclinic; E_tot = -8.115 eV per atom
1.0
4.409 0.000 0.000
0.000 7.602 0.036
0.000 -2.583 7.168
Pa Sb Pu Er
1 4 2 1
Cartesian
0.000 0.000 0.000 Pa
2.205 3.761 5.442 Sb
0.000 5.061 1.780 Sb
2.205 1.258 1.762 Sb
0.000 -0.042 5.424 Sb
2.205 -1.291 3.584 Pu
0.000 2.510 3.602 Pu
2.205 3.801 0.018 Er


# 2
ErPuPa2Sb4 | Alexandria via LeMat-Bulk | GGA-PBE | relaxed; formation energy without anion corrections = -0.652 eV per atom; crystal system = monoclinic; E_tot = -7.449 eV per atom
1.0
4.385 0.000 0.000
0.000 7.614 0.139
0.000 -2.654 7.081
Sb Er Pa Pu
4 1 2 1
Cartesian
0.000 5.024 1.867 Sb
2.192 1.262 1.810 Sb
2.192 3.698 5.410 Sb
0.000 -0.065 5.353 Sb
2.192 3.807 0.070 Er
2.192 -1.327 3.541 Pa
0.000 2.480 3.610 Pa
0.000 0.000 0.000 Pu


# 3
Er2PuPaSe4 | Alexandria via LeMat-Bulk | GGA-PBE | relaxed; formation energy without anion corrections = -1.534 eV per atom; crystal system = monoclinic; E_tot = -7.396 eV per atom
1.0
-1.048 -3.821 -0.445
4.659 -0.635 -5.516
6.158 -1.985 2.543
Er Pu Se Pa
2 1 4 1
Cartesian
2.555 -2.903 1.049 Er
6.158 -1.985 2.543 Er
7.963 -4.213 -0.437 Pu
4.536 -2.883 -3.784 Se
5.233 -3.558 0.366 Se
8.133 -1.964 -2.289 Se
1.636 -4.478 -1.129 Se
5.408 -1.310 -1.486 Pa


# 4
ErPu2PaSe4 | Alexandria via LeMat-Bulk | GGA-PBE | relaxed; formation energy without anion corrections = -1.493 eV per atom; crystal system = monoclinic; E_tot = -8.576 eV per atom
1.0
-3.241 1.511 -1.910
-2.715 -6.649 -0.653
-2.234 2.811 6.014
Er Se Pa Pu
1 4 1 2
Cartesian
0.000 0.000 0.000 Er
-5.361 -2.139 3.102 Se
-2.600 -4.318 0.996 Se
-2.349 0.480 4.365 Se
-2.828 -0.188 0.348 Se
-2.978 -2.569 -1.282 Pa
-2.474 -1.919 2.680 Pu
-2.738 2.161 2.052 Pu


# 5
Er2Pu3PaSe6 | Alexandria via LeMat-Bulk | GGA-PBE | relaxed; formation energy without anion corrections = -1.548 eV per atom; crystal system = monoclinic; E_tot = -8.425 eV per atom
1.0
4.064 0.000 0.000
0.000 8.208 0.374
-2.032 -2.274 8.599
Er Pu Se Pa
2 3 6 1
Cartesian
2.032 3.917 5.992 Er
0.000 2.017 2.981 Er
2.032 4.104 0.187 Pu
0.000 6.137 3.134 Pu
2.032 -0.203 5.839 Pu
0.000 1.923 5.840 Se
0.000 5.931 6.047 Se
2.032 3.874 8.824 Se
2.032 0.003 2.926 Se
2.032 4.011 3.132 Se
0.000 2.060 0.148 Se
2.032 0.000 0.000 Pa


# 6
ErPuPaTc | Alexandria via LeMat-Bulk | GGA-PBE | relaxed; crystal system = cubic; E_tot = -9.586 eV per atom
1.0
-3.451 -2.500 2.592
0.600 -0.725 4.898
-2.910 2.414 3.254
Er Pa Tc Pu
1 1 1 1
Cartesian
-2.880 -0.406 5.372 Er
0.000 0.000 0.000 Pa
-1.440 -0.203 2.686 Tc
-4.320 -0.609 8.058 Pu


# 7
ErPuThPa | Alexandria via LeMat-Bulk | GGA-PBE | relaxed; crystal system = cubic; E_tot = -8.659 eV per atom
1.0
5.414 0.000 0.000
2.707 4.689 0.000
2.707 1.563 4.421
Pu Th Pa Er
1 1 1 1
Cartesian
5.414 3.126 2.210 Pu
0.000 0.000 0.000 Th
8.121 4.689 3.315 Pa
2.707 1.563 1.105 Er


# 8
ErPuPaTl | Alexandria via LeMat-Bulk | GGA-PBE | relaxed; crystal system = cubic; E_tot = -7.479 eV per atom
1.0
-3.870 -3.569 0.247
-0.412 -3.154 4.203
-3.971 0.650 3.404
Er Tl Pa Pu
1 1 1 1
Cartesian
-6.190 -4.555 5.890 Er
0.000 0.000 0.000 Tl
-4.127 -3.037 3.927 Pa
-2.063 -1.518 1.963 Pu


no.,magnetic moment (μB per formula unit)
1,11.62
2,7.44
3,7.00
4,0.77
5,6.68
6,6.66
7,7.67
8,6.98